NpCrH2O6 | PBE with a Hubbard U | relaxed

The structure belongs to space group P-1 (No. 2); the cell edges are 5.119, 5.272 and 5.498 Å and the angles 62.67°, 89.76° and 63.31°. Symmetry generates all atoms from Np at (0.000, 0.000, 0.000), Cr at (0.500, 0.000, 0.500), H at (0.407, 0.523, 0.718), O at (0.141, 0.110, 0.242), O at (0.244, 0.117, 0.754) and O at (0.406, 0.468, 0.269).

Its total magnetization is 3.0 Bohr magnetons per cell. The value obtained for the uncorrected energy is -7.564 eV per atom.